MnNi2AgN after structural relaxation, computed with PBE-GGA.

Cell lengths 3.8760, 3.8760, 3.9134 Å; angles 90.00, 90.00, 90.00 degrees
Space group P4/mmm (No. 123)
One atom of each set of equivalent atoms:
Mn 0.0000 0.0000 0.0000 (multiplicity 1)
Ni 0.0000 0.5000 0.5000 (multiplicity 2)
Ag 0.5000 0.5000 0.0000 (multiplicity 1)
N 0.0000 0.0000 0.5000 (multiplicity 1)

Properties
**Formation energy (no corrections)**: -0.048 eV/atom
**V**: 59 Å³/cell

***

Er5Tm3S8 after structural relaxation, computed with PBE-GGA.

Cell lengths 7.7091, 7.7091, 18.9030 Å; angles 90.00, 90.00, 120.00 degrees
Space group R-3m (No. 166, hexagonal axes)
One atom of each set of equivalent atoms:
Er 0.0000 0.0000 0.0000 (multiplicity 3)
Er 0.0000 0.0000 0.5000 (multiplicity 3)
Er 0.0000 0.5000 0.0000 (multiplicity 9)
Tm 0.0000 0.5000 0.5000 (multiplicity 9)
S 0.0000 0.0000 0.2492 (multiplicity 6)
S 0.0011 0.5005 0.7505 (multiplicity 18)

Properties
**Formation energy (no corrections)**: -1.940 eV/atom
**V**: 973 Å³/cell

***

LiTc2Ni after structural relaxation, computed with PBE-GGA.

Cell lengths 3.1628, 3.1628, 5.0700 Å; angles 90.00, 90.00, 90.00 degrees
Space group P4/mmm (No. 123)
One atom of each set of equivalent atoms:
Li 0.0000 0.0000 0.0000 (multiplicity 1)
Tc 0.5000 0.5000 0.2319 (multiplicity 2)
Ni 0.0000 0.0000 0.5000 (multiplicity 1)

Properties
**Distance to the lowest polymorph of the same formula**: 231 meV per atom
**V**: 51 Å³/cell
**ΔE_f**: 0.34 eV per atom

***

CaAl4Fe after structural relaxation, computed with PBE-GGA.

Cell lengths 7.5794, 7.5794, 7.5794 Å; angles 90.00, 90.00, 90.00 degrees
Space group F-43m (No. 216)
One atom of each set of equivalent atoms:
Ca 0.0000 0.0000 0.0000 (multiplicity 4)
Al 0.1249 0.1249 0.3751 (multiplicity 16)
Fe 0.2500 0.2500 0.7500 (multiplicity 4)

Properties
**V**: 435 Å³/cell
**ΔE_f**: 0.05 eV per atom

***

Tm2AgSe after structural relaxation, computed with PBE-GGA.

Cell lengths 3.6262, 3.6262, 28.6895 Å; angles 90.00, 90.00, 120.00 degrees
Space group R-3m (No. 166, hexagonal axes)
One atom of each set of equivalent atoms:
Tm 0.0000 0.0000 0.1020 (multiplicity 6)
Ag 0.0000 0.0000 0.0000 (multiplicity 3)
Se 0.0000 0.0000 0.5000 (multiplicity 3)

Properties
**Formation energy (no corrections)**: -0.425 eV/atom
**Distance to the lowest polymorph of the same formula**: 577 meV per atom
**V**: 327 Å³/cell

***

TlAsS2 after structural relaxation, computed with PBE-GGA.

Cell lengths 6.3196, 11.6445, 13.0352 Å; angles 90.00, 105.55, 90.00 degrees
Space group P2_1/c (No. 14)
One atom of each set of equivalent atoms:
Tl 0.1506 0.1776 0.0595 (multiplicity 4)
Tl 0.2685 0.5574 0.8886 (multiplicity 4)
As 0.2358 0.6683 0.2019 (multiplicity 4)
As 0.4630 0.0898 0.8567 (multiplicity 4)
S 0.1921 0.5626 0.6503 (multiplicity 4)
S 0.2720 0.0323 0.6836 (multiplicity 4)
S 0.2933 0.6858 0.3759 (multiplicity 4)
S 0.4196 0.2139 0.3232 (multiplicity 4)

Properties
**Formation energy (no corrections)**: -0.268 eV/atom
**V**: 924 Å³/cell

***

PrDy2HoEr after structural relaxation, computed with PBE-GGA.

Cell lengths 8.3908, 11.4827, 7.2022 Å; angles 90.00, 90.00, 90.00 degrees
Space group Cmcm (No. 63)
One atom of each set of equivalent atoms:
Pr 0.0000 0.2281 0.2500 (multiplicity 4)
Dy 0.1905 0.0000 0.0000 (multiplicity 8)
Ho 0.0000 0.4986 0.2500 (multiplicity 4)
Er 0.0000 0.2231 0.7500 (multiplicity 4)

Properties
**V**: 694 Å³/cell
**ΔE_f**: 0.38 eV per atom

***

SrLiW2 after structural relaxation, computed with PBE-GGA.

Cell lengths 3.1346, 4.5270, 5.5074 Å; angles 90.00, 90.00, 90.00 degrees
Space group Pmmm (No. 47)
One atom of each set of equivalent atoms:
Sr 0.0000 0.0000 0.0000 (multiplicity 1)
Li 0.5000 0.5000 0.0000 (multiplicity 1)
W 0.0000 0.5000 0.5000 (multiplicity 1)
W 0.5000 0.0000 0.5000 (multiplicity 1)

Properties
**Distance to the lowest polymorph of the same formula**: 307 meV per atom
**V**: 78 Å³/cell
**ΔE_f**: 0.94 eV per atom

***

no.,total DFT energy (no corrections) (eV/atom)
1,-6.430
2,-6.268
3,-6.766
4,-4.191
5,-4.245
6,-4.086
7,-4.244
8,-6.439